[1]
A plane-wave DFT calculation with PBEsol was carried out for a relaxed structure of NaLaTa3.

The structure in POSCAR format:
```
NaLaTa3
1.0
-2.0316 4.2414 -1.1186
0.7156 -0.8957 -4.6961
-4.3276 -2.1392 -0.2514
La Na Ta
1 1 3
Direct
0.5000 0.5000 0.5000
0.0000 0.0000 0.0000
0.0000 0.0000 0.5000
0.5000 0.0000 0.0000
0.0000 0.5000 0.0000
```

Output
The total energy comes out at -33.789 eV per formula unit. The calculation puts the formation energy from the elements at 2.122 eV per atom. The size of the total moment is 0.00 μB per cell. The value obtained for the distance to the lowest polymorph of the same formula is 0.0 meV/atom.

---

[2]
A plane-wave DFT calculation with PBEsol was carried out for a relaxed structure of La4Pt.

The structure in POSCAR format:
```
La4Pt
1.0
3.7106 0.0000 0.0000
1.8553 6.3402 0.0000
1.8553 0.0000 6.3402
La Pt
4 1
Direct
0.5793 0.1851 0.6563
0.7644 0.6563 0.8149
0.2356 0.3437 0.1851
0.4207 0.8149 0.3437
0.0000 0.0000 0.0000
```

Output
The total energy comes out at -30.345 eV per formula unit. The calculation puts the formation energy from the elements at -0.399 eV per atom. The size of the total moment is 0.00 μB per cell.

---

[3]
A plane-wave DFT calculation with PBEsol was carried out for a relaxed structure of ZrTaCl2.

The structure in POSCAR format:
```
ZrTaCl2
1.0
2.9853 0.0000 0.0000
0.0000 4.7252 0.0988
0.0000 -1.0341 4.6118
Cl Ta Zr
2 1 1
Direct
0.0000 0.5000 0.0000
0.0000 0.0000 0.5000
0.5000 0.0000 0.0000
0.5000 0.5000 0.5000
```

Output
The total energy comes out at -25.078 eV per formula unit. The size of the total moment is 0.00 μB per cell. The calculation puts the raw formation energy at 0.145 eV/atom.

---

[4]
A plane-wave DFT calculation with PBEsol was carried out for a relaxed structure of HgIr2Cl.

The structure in POSCAR format:
```
HgIr2Cl
1.0
2.8726 0.0000 0.0000
0.0000 2.8726 0.0000
0.0000 0.0000 7.6330
Ir Cl Hg
2 1 1
Direct
0.0000 0.0000 0.7695
0.0000 0.0000 0.2305
0.5000 0.5000 0.0000
0.5000 0.5000 0.5000
```

Output
The total energy comes out at -18.447 eV per formula unit. The size of the total moment is 0.00 μB per cell. The value obtained for the distance to the lowest polymorph of the same formula is 178.9 meV/atom. The calculation puts the raw formation energy at 0.944 eV/atom.

---

[5]
A plane-wave DFT calculation with PBEsol was carried out for a relaxed structure of LaPIr2.

The structure in POSCAR format:
```
LaPIr2
1.0
-2.8377 -2.3807 1.4403
0.5532 -0.0912 -4.5442
3.5731 -3.0144 2.0571
Ir La P
2 1 1
Direct
0.0197 0.0395 0.0426
0.7202 0.4404 0.0885
0.4891 0.9782 0.4938
0.2710 0.5419 0.8751
```

Output
The total energy comes out at -33.145 eV per formula unit. The calculation puts the formation energy from the elements at -0.590 eV per atom. The size of the total moment is 0.00 μB per cell.

---

[6]
A plane-wave DFT calculation with PBEsol was carried out for a relaxed structure of LaInAs.

The structure in POSCAR format:
```
LaInAs
1.0
-1.1976 2.5638 4.1638
-3.3693 -1.8816 3.2329
1.4972 -1.6749 4.5053
As In La
1 1 1
Direct
0.0000 0.0000 0.0000
0.5000 0.5000 0.5000
0.2500 0.2500 0.2500
```

Output
The total energy comes out at -14.379 eV per formula unit. The calculation puts the formation energy from the elements at -0.315 eV per atom. The size of the total moment is 0.00 μB per cell.

---

[7]
A plane-wave DFT calculation with PBEsol was carried out for a relaxed structure of Ta2FeO6.

The structure in POSCAR format:
```
Ta2FeO6
1.0
4.7732 0.0000 0.0000
0.0000 4.7732 0.0000
0.0000 0.0000 9.0181
O Ta Fe
12 4 2
Direct
0.2060 0.2060 0.1745
0.7940 0.7940 0.8255
0.6924 0.3076 0.0000
0.2940 0.7060 0.3255
0.7060 0.2940 0.6745
0.3076 0.6924 0.0000
0.2940 0.7060 0.6745
0.8076 0.8076 0.5000
0.1923 0.1923 0.5000
0.2060 0.2060 0.8255
0.7940 0.7940 0.1745
0.7060 0.2940 0.3255
0.0000 0.0000 0.3298
0.5000 0.5000 0.8298
0.5000 0.5000 0.1702
0.0000 0.0000 0.6702
0.0000 0.0000 0.0000
0.5000 0.5000 0.5000
```

Output
The total energy comes out at -87.297 eV per formula unit. The size of the total moment is 8.00 μB per cell. The calculation puts the raw formation energy at -2.415 eV/atom.

---

[8]
A plane-wave DFT calculation with PBEsol was carried out for a relaxed structure of ZrTl2Rh.

The structure in POSCAR format:
```
ZrTl2Rh
1.0
4.2366 0.0000 0.0000
0.0000 4.2247 0.0000
0.0000 0.0000 4.4127
Tl Zr Rh
2 1 1
Direct
0.0000 0.0000 0.0000
0.5000 0.5000 0.0000
0.5000 0.0000 0.5000
0.0000 0.5000 0.5000
```

Output
The total energy comes out at -22.658 eV per formula unit. The calculation puts the formation energy from the elements at -0.042 eV per atom. The size of the total moment is 0.00 μB per cell.

---

[9]
A plane-wave DFT calculation with PBEsol was carried out for a relaxed structure of Sc2TaHg.

The structure in POSCAR format:
```
Sc2TaHg
1.0
4.1435 0.0000 0.0000
0.0000 4.3498 0.0000
0.0000 0.0000 4.3498
Hg Ta Sc
1 1 2
Direct
0.5000 0.0000 0.0000
0.5000 0.5000 0.5000
0.0000 0.0000 0.5000
0.0000 0.5000 0.0000
```

Output
The total energy comes out at -26.375 eV per formula unit. The calculation puts the formation energy from the elements at -0.012 eV per atom. The size of the total moment is 0.00 μB per cell.

---

[10]
A plane-wave DFT calculation with PBEsol was carried out for a relaxed structure of U2CuAs2H16O20.

The structure in POSCAR format:
```
U2CuAs2H16O20
1.0
-4.0381 -1.1017 5.6671
3.7874 -5.7251 1.5858
10.6915 9.7058 9.5052
O As H U Cu
40 4 32 4 2
Direct
0.9399 0.8168 0.9400
0.9607 0.7751 0.6926
0.5393 0.7249 0.3074
0.4607 0.2751 0.3074
0.4399 0.3168 0.0600
0.1832 0.9399 0.0600
0.2751 0.5393 0.6926
0.2249 0.9607 0.3074
0.7573 0.6080 0.1952
0.5601 0.6832 0.0600
0.3170 0.4347 0.4407
0.1830 0.0653 0.5593
0.5000 0.0000 0.1621
0.0000 0.5000 0.5491
0.0000 0.5000 0.0474
0.6832 0.4399 0.9400
0.8920 0.2573 0.1952
0.0601 0.1832 0.9400
0.5653 0.3170 0.5593
0.8170 0.9347 0.5593
0.2427 0.3920 0.1952
0.5000 0.0000 0.9526
0.2573 0.1080 0.8048
0.7751 0.0393 0.3074
0.4347 0.6830 0.5593
0.5000 0.0000 0.4509
0.0000 0.5000 0.8379
0.5000 0.0000 0.6604
0.6830 0.5653 0.4407
0.8168 0.0601 0.0600
0.7427 0.8920 0.8048
0.6080 0.2427 0.8048
0.0393 0.2249 0.6926
0.3168 0.5601 0.9400
0.3920 0.7573 0.8048
0.0653 0.8170 0.4407
0.9347 0.1830 0.4407
0.1080 0.7427 0.1952
0.7249 0.4607 0.6926
0.0000 0.5000 0.3396
0.0000 0.0000 0.0000
0.0000 0.0000 0.5000
0.5000 0.5000 0.5000
0.5000 0.5000 0.0000
0.1274 0.1804 0.7359
0.4045 0.3251 0.3562
0.9686 0.7051 0.1967
0.8726 0.8196 0.7359
0.5955 0.6749 0.3562
0.1277 0.8096 0.1452
0.0955 0.1749 0.6438
0.4686 0.2051 0.8033
0.7051 0.0314 0.8033
0.6804 0.3726 0.7359
0.6274 0.6804 0.2641
0.2051 0.5314 0.1967
0.6749 0.4045 0.6438
0.8096 0.8723 0.8548
0.5314 0.7949 0.8033
0.8723 0.1904 0.1452
0.7949 0.4686 0.1967
0.8251 0.0955 0.3562
0.8196 0.1274 0.2641
0.3726 0.3196 0.2641
0.1904 0.1277 0.8548
0.6277 0.3096 0.8548
0.1749 0.9045 0.3562
0.3251 0.5955 0.6438
0.0314 0.2949 0.1967
0.3196 0.6274 0.7359
0.2949 0.9686 0.8033
0.3723 0.6904 0.8548
0.3096 0.3723 0.1452
0.6904 0.6277 0.1452
0.9045 0.8251 0.6438
0.1804 0.8726 0.2641
0.0000 0.5000 0.4437
0.5000 0.0000 0.5563
0.5000 0.0000 0.0571
0.0000 0.5000 0.9429
0.0000 0.5000 0.6909
0.5000 0.0000 0.3091
```

Output
The total energy comes out at -256.019 eV per formula unit. The size of the total moment is 2.00 μB per cell.

---

[11]
A plane-wave DFT calculation with PBEsol was carried out for a relaxed structure of Na3TaCr.

The structure in POSCAR format:
```
Na3TaCr
1.0
5.8319 0.0000 0.0000
0.0000 5.8319 0.0000
0.0000 0.0000 5.8319
Ta Na Cr
1 3 1
Direct
0.0000 0.0000 0.0000
0.0000 0.0000 0.5000
0.5000 0.0000 0.0000
0.0000 0.5000 0.0000
0.5000 0.5000 0.5000
```

Output
The total energy comes out at -16.292 eV per formula unit. The calculation puts the formation energy from the elements at 2.140 eV per atom. The size of the total moment is 10.10 μB per cell.

---

[12]
A plane-wave DFT calculation with PBEsol was carried out for a relaxed structure of ZrTl2As.

The structure in POSCAR format:
```
ZrTl2As
1.0
3.1542 0.0000 0.0000
0.0000 3.1542 0.0000
0.0000 0.0000 9.0142
Tl Zr As
2 1 1
Direct
0.0000 0.0000 0.7515
0.0000 0.0000 0.2485
0.5000 0.5000 0.0000
0.5000 0.5000 0.5000
```

Output
The total energy comes out at -18.514 eV per formula unit. The calculation puts the formation energy from the elements at 0.236 eV per atom. The size of the total moment is 0.00 μB per cell.